1.
9
Lattice="9.051 -5.254 0.000 9.051 5.254 0.000 -6.077 0.000 8.576" Properties=species:S:1:pos:R:3 comment="Cs6Rb2Pd | Alexandria | PBE-GGA | optimized geometry" ef_ev_per_fu=0.1 sg="C2/m, No. 12" pbc="T T T"
Cs 7.626 2.787 2.009
Cs 4.398 2.787 6.566
Cs 2.844 0.000 2.010
Cs 9.180 0.000 6.566
Cs 7.626 -2.787 2.009
Cs 4.398 -2.787 6.566
Rb -0.026 0.000 6.410
Rb 12.051 0.000 2.166
Pd 0.000 0.000 0.000

2.
6
Lattice="4.502 0.000 0.000 -2.251 3.899 0.000 0.000 0.000 7.524" Properties=species:S:1:pos:R:3 comment="Li2LaThSi2 | Alexandria | PBE-GGA | optimized geometry" raw_formation_energy_mev_per_atom=-506 sg="P-3m1, No. 164" pbc="T T T"
Li 0.000 2.599 1.836
Li 2.251 1.300 5.687
La 0.000 0.000 3.762
Th 0.000 0.000 0.000
Si 0.000 2.599 5.760
Si 2.251 1.300 1.764

3.
10
Lattice="7.069 0.000 0.000 0.000 7.069 0.000 0.000 0.000 4.108" Properties=species:S:1:pos:R:3 comment="Nb2SbAu2 | Alexandria | PBE-GGA | optimized geometry" raw_formation_energy_mev_per_atom=62 sg="P4/mbm, No. 127" pbc="T T T"
Nb 0.950 2.584 0.000
Nb 2.584 6.119 0.000
Nb 4.485 0.950 0.000
Nb 6.119 4.485 0.000
Sb 0.000 0.000 0.000
Sb 3.535 3.535 0.000
Au 1.068 4.602 2.054
Au 2.467 1.068 2.054
Au 4.602 6.002 2.054
Au 6.002 2.467 2.054

4.
4
Lattice="0.000 3.502 3.502 3.502 0.000 3.502 3.502 3.502 0.000" Properties=species:S:1:pos:R:3 comment="AcInCuNi | Alexandria | PBE-GGA | optimized geometry" ef_ev_per_fu=-0.4 sg="F-43m, No. 216" relative_energy_ev_per_atom=0.160 pbc="T T T"
Ac 0.000 0.000 0.000
In 3.502 3.502 3.502
Cu 1.751 1.751 1.751
Ni 5.253 5.253 5.253

| no. | total magnetic moment (μB per atom) |
| --- | --- |
| 1 | 0.000 |
| 2 | 0.000 |
| 3 | 0.000 |
| 4 | 0.000 |